DyY2Ho4Mg, optimized geometry, DFT PBE-GGA; density = 6.96 g/cm3; crystal system = monoclinic; ΔH_f (0 K) = 0.01 eV/atom; V = 488.4 Å³ per cell; raw total energy = -74.67 eV/cell
1.0
12.133 0.000 0.000
0.000 3.668 0.000
-3.372 0.000 10.975
Dy Y Ho Mg
2 4 8 2
direct
0.000 0.000 0.000
0.500 0.500 0.000
0.023 0.500 0.273
0.477 0.000 0.727
0.523 0.000 0.273
0.977 0.500 0.727
0.218 0.500 0.609
0.239 0.000 0.868
0.261 0.500 0.132
0.282 0.000 0.391
0.718 0.000 0.609
0.739 0.500 0.868
0.761 0.000 0.132
0.782 0.500 0.391
0.000 0.000 0.500
0.500 0.500 0.500


Ac2HfTi3O12, optimized geometry, DFT PBE-GGA; density = 6.89 g/cm3; crystal system = trigonal; V = 233.4 Å³ per cell; formation energy (no corrections) = -2.756 eV/atom; raw total energy = -150.96 eV/cell
1.0
3.563 2.057 5.306
-3.563 2.057 5.306
0.000 -4.115 5.306
Ac Hf Ti O
2 1 3 12
direct
0.114 0.114 0.114
0.886 0.886 0.886
0.500 0.500 0.500
0.000 0.500 0.500
0.500 0.000 0.500
0.500 0.500 0.000
0.108 0.637 0.637
0.222 0.222 0.617
0.222 0.617 0.222
0.363 0.363 0.892
0.363 0.892 0.363
0.383 0.778 0.778
0.617 0.222 0.222
0.637 0.108 0.637
0.637 0.637 0.108
0.778 0.383 0.778
0.778 0.778 0.383
0.892 0.363 0.363


Cs2TlCd2O4, optimized geometry, DFT PBE-GGA; density = 5.96 g/cm3; crystal system = monoclinic; V = 211.4 Å³ per cell; formation energy (no corrections) = -0.941 eV/atom; raw total energy = -34.20 eV/cell
1.0
8.499 -1.860 0.000
8.499 1.860 0.000
-1.019 0.000 6.687
Cs Tl Cd O
2 1 2 4
direct
0.140 0.140 0.064
0.860 0.860 0.936
0.000 0.000 0.500
0.320 0.320 0.456
0.680 0.680 0.544
0.231 0.231 0.698
0.439 0.439 0.641
0.561 0.561 0.359
0.769 0.769 0.302